Below is a relaxed structure of Cr3FeF, with properties calculated at the PBE with a Hubbard U level.

Results
ΔE to the lowest computed polymorph: 0 meV per atom
M_tot: 12.216 μB per cell
Raw total energy: -25.64 eV/cell

Cell: 4.906 4.906 4.906 Å, 90.00 90.00 90.00°
Last column: magnetic moment on the atom in μB.
Sites, in units of the cell vectors:
Cr1 0.000 0.500 0.000  4.36
Cr2 0.000 0.000 0.500  4.33
Cr3 0.500 0.000 0.000  4.36
Fe1 0.000 0.000 0.000  -2.64
F1 0.500 0.500 0.500  0.08